PrGd2Se: optimized geometry, PBE.

Formation energy (no corrections) ... -0.628 eV/atom
Calculated total energy ... -116.82 eV/cell

Cell lengths 3.7758, 3.7758, 31.5137 Å; angles 90.00, 90.00, 120.00 degrees
Space group R-3m (No. 166, hexagonal axes)
One atom of each set of equivalent atoms:
1 Pr 0.0000 0.0000 0.0000 x3
2 Gd 0.0000 0.0000 0.1091 x6
3 Se 0.0000 0.0000 0.5000 x3

ThNpSn6: optimized geometry, PBE.

Calculated total energy ... -46.81 eV/cell

Cell lengths 4.714, 4.714, 9.342 Å; angles 90.00, 90.00, 90.00 degrees
Space group P4/mmm (No. 123)
One atom of each set of equivalent atoms:
1 Th 0.000 0.000 0.000 x1
2 Np 0.000 0.000 0.500 x1
3 Sn 0.000 0.500 0.256 x4
4 Sn 0.500 0.500 0.000 x1
5 Sn 0.500 0.500 0.500 x1

LiNb3Bi4O14: optimized geometry, PBE.

Formation energy (no corrections) ... -1.991 eV/atom
Calculated total energy ... -643.45 eV/cell

Cell lengths 13.280, 7.793, 12.235 Å; angles 90.00, 101.57, 90.00 degrees
Space group C2/c (No. 15)
One atom of each set of equivalent atoms:
1 Li 0.000 0.028 0.250 x4
2 Nb 0.000 0.375 0.750 x4
3 Nb 0.247 0.129 0.761 x8
4 Bi 0.116 0.109 0.007 x8
5 Bi 0.117 0.359 0.477 x8
6 O 0.004 0.356 0.916 x8
7 O 0.019 0.096 0.411 x8
8 O 0.107 0.169 0.781 x8
9 O 0.111 0.461 0.271 x8
10 O 0.204 0.142 0.216 x8
11 O 0.204 0.148 0.587 x8
12 O 0.209 0.440 0.086 x8

Pm7Sn2Hg: optimized geometry, PBE.

Calculated total energy ... -44.47 eV/cell

Cell lengths 5.3667, 5.3667, 13.0015 Å; angles 90.00, 90.00, 120.00 degrees
Space group P3m1 (No. 156)
One atom of each set of equivalent atoms:
1 Pm 0.0000 0.0000 0.0000 x1
2 Pm 0.0000 0.0000 0.2587 x1
3 Pm 0.0000 0.0000 0.5217 x1
4 Pm 0.3333 0.6667 0.1485 x1
5 Pm 0.3333 0.6667 0.6702 x1
6 Pm 0.6667 0.3333 0.3897 x1
7 Pm 0.6667 0.3333 0.8430 x1
8 Sn 0.0000 0.0000 0.7613 x1
9 Sn 0.6667 0.3333 0.1054 x1
10 Hg 0.3333 0.6667 0.4085 x1

KSr2Sn: optimized geometry, PBE.

Calculated total energy ... -32.44 eV/cell

Cell lengths 5.543, 5.543, 23.708 Å; angles 90.00, 90.00, 90.00 degrees
Space group I-42d (No. 122)
One atom of each set of equivalent atoms:
1 K 0.000 0.000 0.000 x4
2 Sr 0.218 0.250 0.625 x8
3 Sn 0.000 0.000 0.500 x4

Y4MgCu8: optimized geometry, PBE.

Calculated total energy ... -121.32 eV/cell
E above lowest polymorph ... 0.000 eV per atom

Cell lengths 8.066, 8.066, 8.045 Å; angles 90.00, 90.00, 90.00 degrees
Space group I4/mmm (No. 139)
One atom of each set of equivalent atoms:
1 Y 0.250 0.250 0.250 x8
2 Mg 0.000 0.000 0.000 x2
3 Cu 0.000 0.214 0.500 x8
4 Cu 0.000 0.353 0.000 x8